Record 1
This record from Alexandria describes a relaxed structure of Pr8NdHg6. The functional is PBE.

```
Pr8NdHg6
1.0
9.2667 0.0000 0.0000
4.6333 8.0252 0.0000
4.6333 2.6751 6.5630
Pr Hg Nd
8 6 1
Direct
0.1145 0.4506 0.6542
0.3338 0.3338 0.9987
0.2193 0.8855 0.3458
0.7807 0.1145 0.6542
0.5494 0.2193 0.3458
0.4506 0.7807 0.6542
0.8855 0.5494 0.3458
0.6662 0.6662 0.0013
0.7224 0.3847 0.8395
0.3847 0.0534 0.8395
0.0534 0.7224 0.8395
0.9466 0.2776 0.1605
0.6153 0.9466 0.1605
0.2776 0.6153 0.1605
0.0000 0.0000 0.0000
```

Computed properties:
formation enthalpy at 0 K = -3.78 eV/f.u.

Record 2
This record from Alexandria describes a relaxed structure of Pr2NdHg3. The functional is PBE.

```
Pr2NdHg3
1.0
-3.2471 0.7957 1.9283
0.2964 -3.3554 1.8837
6.1891 5.1942 8.2788
Pr Nd Hg
2 1 3
Direct
0.5000 0.5000 0.1676
0.5000 0.5000 0.8324
0.5000 0.5000 0.5000
0.0000 0.0000 0.3362
0.0000 0.0000 0.0000
0.0000 0.0000 0.6638
```

Computed properties:
formation enthalpy at 0 K = -2.83 eV/f.u.